Below is ZrB2H6 after structural relaxation, with properties calculated at the GGA-PBE level.

Values from the calculation:
D(E_F) = 3.8 states/eV/f.u.
DFT total energy = -125.519 eV for the cell shown
ρ = 3.210 g/cm3

Structure (CIF):
```
data_ZrB2H6
_chemical_formula_sum 'Zr4 B8 H24'
_space_group_name_H-M_alt 'F m -3 m'
_space_group_IT_number 225
_space_group_name_Hall '-F 4 2 3'
_cell_length_a 6.266
_cell_length_b 6.266
_cell_length_c 6.266
_cell_angle_alpha 90.00
_cell_angle_beta 90.00
_cell_angle_gamma 90.00
loop_
_atom_site_label
_atom_site_fract_x
_atom_site_fract_y
_atom_site_fract_z
_atom_site_occupancy
Zr1 0.000 0.000 0.000 1
B1 0.250 0.250 0.250 1
H1 0.000 0.000 0.310 1
```

***

Below is Ca6As2NO after structural relaxation, with properties calculated at the GGA-PBE level.

Values from the calculation:
D(E_F) = 3.3 states/eV/f.u.
DFT total energy = -48.221 eV for the cell shown
Formation energy from raw total energies = -1363 meV/atom
ρ = 3.267 g/cm3

Structure (CIF):
```
data_Ca6As2NO
_chemical_formula_sum 'Ca6 As2 N1 O1'
_space_group_name_H-M_alt 'P 4/m m m'
_space_group_IT_number 123
_space_group_name_Hall '-P 4 2'
_cell_length_a 4.744
_cell_length_b 4.744
_cell_length_c 9.491
_cell_angle_alpha 90.00
_cell_angle_beta 90.00
_cell_angle_gamma 90.00
loop_
_atom_site_label
_atom_site_fract_x
_atom_site_fract_y
_atom_site_fract_z
_atom_site_occupancy
Ca1 0.000 0.000 0.246 1
Ca2 0.000 0.500 0.000 1
Ca3 0.000 0.500 0.500 1
As1 0.500 0.500 0.260 1
N1 0.000 0.000 0.000 1
O1 0.000 0.000 0.500 1
```

***

Below is AgTe2Rh after structural relaxation, with properties calculated at the GGA-PBE level.

Values from the calculation:
D(E_F) = 2.3 states/eV/f.u.
DFT total energy = -33.531 eV for the cell shown
Formation energy from raw total energies = -70 meV/atom
ρ = 8.083 g/cm3

Structure (CIF):
```
data_AgTe2Rh
_chemical_formula_sum 'Ag2 Te4 Rh2'
_space_group_name_H-M_alt 'I m m m'
_space_group_IT_number 71
_space_group_name_Hall '-I 2 2'
_cell_length_a 3.551
_cell_length_b 4.547
_cell_length_c 11.859
_cell_angle_alpha 90.00
_cell_angle_beta 90.00
_cell_angle_gamma 90.00
loop_
_atom_site_label
_atom_site_fract_x
_atom_site_fract_y
_atom_site_fract_z
_atom_site_occupancy
Ag1 0.000 0.000 0.000 1
Te1 0.000 0.500 0.165 1
Rh1 0.000 0.000 0.500 1
```

***

Below is La8Sm2Ho3 after structural relaxation, with properties calculated at the GGA-PBE level.

Values from the calculation:
D(E_F) = 17.3 states/eV/f.u.
DFT total energy = -120.649 eV for the cell shown
Polymorph energy (0 for the lowest one) = 0.034 eV per atom
Energy of formation from the pure elements = 0.174 eV/atom
ρ = 6.760 g/cm3

Structure (CIF):
```
data_La8Sm2Ho3
_chemical_formula_sum 'La16 Sm4 Ho6'
_space_group_name_H-M_alt 'C 1 2/m 1'
_space_group_IT_number 12
_cell_length_a 20.757
_cell_length_b 7.745
_cell_length_c 5.827
_cell_angle_alpha 90.00
_cell_angle_beta 90.03
_cell_angle_gamma 90.00
loop_
_space_group_symop_operation_xyz
'x,y,z'
'-x,-y,-z'
'-x,y,-z'
'x,-y,z'
'x+1/2,y+1/2,z'
'-x+1/2,-y+1/2,-z'
'-x+1/2,y+1/2,-z'
'x+1/2,-y+1/2,z'
loop_
_atom_site_label
_atom_site_fract_x
_atom_site_fract_y
_atom_site_fract_z
_atom_site_occupancy
La1 0.104 0.200 0.001 1
La2 0.130 0.500 0.500 1
La3 0.174 0.000 0.501 1
Sm1 0.240 0.500 0.999 1
Ho1 0.000 0.218 0.500 1
Ho2 0.000 0.500 0.000 1
```

***

Below is AcNdYCd after structural relaxation, with properties calculated at the GGA-PBE level.

Values from the calculation:
D(E_F) = 5.7 states/eV/f.u.
DFT total energy = -16.815 eV for the cell shown
Polymorph energy (0 for the lowest one) = 0.000 eV per atom
Energy of formation from the pure elements = -0.140 eV/atom
ρ = 7.201 g/cm3

Structure (CIF):
```
data_AcNdYCd
_chemical_formula_sum 'Ac1 Nd1 Y1 Cd1'
_space_group_name_H-M_alt 'P 4 m m'
_space_group_IT_number 99
_cell_length_a 3.820
_cell_length_b 3.820
_cell_length_c 9.049
_cell_angle_alpha 90.00
_cell_angle_beta 90.00
_cell_angle_gamma 90.00
loop_
_space_group_symop_operation_xyz
'x,y,z'
'-y,x,z'
'-x,-y,z'
'y,-x,z'
'-x,y,z'
'y,x,z'
'x,-y,z'
'-y,-x,z'
loop_
_atom_site_label
_atom_site_fract_x
_atom_site_fract_y
_atom_site_fract_z
_atom_site_occupancy
Ac1 0.000 0.000 0.000 1
Nd1 0.500 0.500 0.706 1
Y1 0.500 0.500 0.288 1
Cd1 0.000 0.000 0.485 1
```

***

Below is HoZrZn after structural relaxation, with properties calculated at the GGA-PBE level.

Values from the calculation:
D(E_F) = 2.4 states/eV/f.u.
DFT total energy = -60.038 eV for the cell shown
Polymorph energy (0 for the lowest one) = 0.000 eV per atom
Energy of formation from the pure elements = -0.203 eV/atom
ρ = 7.892 g/cm3

Structure (CIF):
```
data_HoZrZn
_chemical_formula_sum 'Ho4 Zr4 Zn4'
_space_group_name_H-M_alt 'C m c m'
_space_group_IT_number 63
_space_group_name_Hall '-C 2c 2'
_cell_length_a 3.390
_cell_length_b 15.950
_cell_length_c 5.005
_cell_angle_alpha 90.00
_cell_angle_beta 90.00
_cell_angle_gamma 90.00
loop_
_atom_site_label
_atom_site_fract_x
_atom_site_fract_y
_atom_site_fract_z
_atom_site_occupancy
Ho1 0.000 0.086 0.250 1
Zr1 0.000 0.225 0.750 1
Zn1 0.000 0.430 0.250 1
```

***

> DFT total energy of number 3 (AgTe2Rh)?

-33.531 eV for the cell shown

***

> Among the records above, which one has the highest DFT total energy?

AcNdYCd

***

> What is the DFT total energy in the third record?

-33.531 eV for the cell shown

***

> What is the formula in the sixth record?

HoZrZn